No. 1
This record from the Alexandria database describes a relaxed structure of MnReMoRh. The functional is PBE.

Cell and atoms, written as CIF:
```
data_MnReMoRh
_symmetry_space_group_name_H-M 'P 1'
_symmetry_Int_Tables_number 1
_cell_length_a 4.361
_cell_length_b 4.361
_cell_length_c 4.361
_cell_angle_alpha 60.00
_cell_angle_beta 60.00
_cell_angle_gamma 60.00
loop_
_symmetry_equiv_pos_as_xyz
'x,y,z'
loop_
_atom_site_label
_atom_site_fract_x
_atom_site_fract_y
_atom_site_fract_z
_atom_site_occupancy
Rh1 0.000 0.000 0.000 1
Mn1 0.750 0.750 0.750 1
Mo1 0.500 0.500 0.500 1
Re1 0.250 0.250 0.250 1
```

Computed properties:
* energy of formation: 0.118 eV per atom
* theoretical density: 12.45 g cm⁻³
* D(E_F): 3.522 states/eV/cell

=====

No. 2
This record from the Alexandria database describes a relaxed structure of MnReMoRu. The functional is PBE.

Cell and atoms, written as CIF:
```
data_MnReMoRu
_symmetry_space_group_name_H-M 'P 1'
_symmetry_Int_Tables_number 1
_cell_length_a 4.353
_cell_length_b 4.353
_cell_length_c 4.353
_cell_angle_alpha 60.00
_cell_angle_beta 60.00
_cell_angle_gamma 60.00
loop_
_symmetry_equiv_pos_as_xyz
'x,y,z'
loop_
_atom_site_label
_atom_site_fract_x
_atom_site_fract_y
_atom_site_fract_z
_atom_site_occupancy
Mo1 0.000 0.000 0.000 1
Mn1 0.500 0.500 0.500 1
Ru1 0.750 0.750 0.750 1
Re1 0.250 0.250 0.250 1
```

Computed properties:
* energy of formation: 0.084 eV per atom
* theoretical density: 12.48 g cm⁻³
* D(E_F): 2.429 states/eV/cell

=====

No. 3
This record from the Alexandria database describes a relaxed structure of MnReMo2Ru. The functional is PBE.

Cell and atoms, written as CIF:
```
data_MnReMo2Ru
_symmetry_space_group_name_H-M 'P 1'
_symmetry_Int_Tables_number 1
_cell_length_a 4.377
_cell_length_b 4.390
_cell_length_c 4.377
_cell_angle_alpha 90.00
_cell_angle_beta 90.00
_cell_angle_gamma 90.00
loop_
_symmetry_equiv_pos_as_xyz
'x,y,z'
loop_
_atom_site_label
_atom_site_fract_x
_atom_site_fract_y
_atom_site_fract_z
_atom_site_occupancy
Mo1 0.500 0.000 0.000 1
Ru1 0.500 0.500 0.500 1
Re1 0.000 0.500 0.000 1
Mo2 0.000 0.000 0.500 1
Mn1 0.000 0.000 0.000 1
```

Computed properties:
* energy of formation: 1.301 eV per atom
* theoretical density: 10.54 g cm⁻³
* D(E_F): 6.470 states/eV/cell

=====

No. 4
This record from the Alexandria database describes a relaxed structure of ScMnReMo. The functional is PBE.

Cell and atoms, written as CIF:
```
data_ScMnReMo
_symmetry_space_group_name_H-M 'P 1'
_symmetry_Int_Tables_number 1
_cell_length_a 4.414
_cell_length_b 4.414
_cell_length_c 4.414
_cell_angle_alpha 60.00
_cell_angle_beta 60.00
_cell_angle_gamma 60.00
loop_
_symmetry_equiv_pos_as_xyz
'x,y,z'
loop_
_atom_site_label
_atom_site_fract_x
_atom_site_fract_y
_atom_site_fract_z
_atom_site_occupancy
Mn1 0.000 0.000 0.000 1
Re1 0.500 0.500 0.500 1
Mo1 0.750 0.750 0.750 1
Sc1 0.250 0.250 0.250 1
```

Computed properties:
* energy of formation: -0.011 eV per atom
* theoretical density: 10.43 g cm⁻³
* D(E_F): 2.319 states/eV/cell

=====

> Which formula does entry 1 have?

MnReMoRh

=====

> Among the records above, which one has the lowest D(E_F)?

ScMnReMo

=====

> Among the records above, which one has the highest D(E_F)?

MnReMo2Ru

=====

> The lowest theoretical density belongs to which entry?

ScMnReMo